# CsTiHgTe3 | Alexandria via LeMat-Bulk | PBE | relaxed
data_CsTiHgTe3
_cell_length_a 8.121
_cell_length_b 15.206
_cell_length_c 7.562
_cell_angle_alpha 90.00
_cell_angle_beta 97.34
_cell_angle_gamma 90.00
_space_group_name_H-M_alt 'C 1 2/c 1'
_space_group_IT_number 15
loop_
_space_group_symop_operation_xyz
'x,y,z'
'-x,-y,-z'
'-x,y,-z+1/2'
'x,-y,z+1/2'
'x+1/2,y+1/2,z'
'-x+1/2,-y+1/2,-z'
'-x+1/2,y+1/2,-z+1/2'
'x+1/2,-y+1/2,z+1/2'
loop_
_atom_site_label
_atom_site_type_symbol
_atom_site_fract_x
_atom_site_fract_y
_atom_site_fract_z
Cs1 Cs 0.000 0.239 0.250
Ti1 Ti 0.000 0.444 0.750
Hg1 Hg 0.000 0.074 0.750
Te1 Te 0.000 0.275 0.750
Te2 Te 0.224 0.480 0.509
# Mass density (kg/m³): 5481
# Formation energy without anion corrections (eV/atom): -0.5990

# SnSbC2 | Alexandria via LeMat-Bulk | PBE | relaxed
data_SnSbC2
_cell_length_a 6.223
_cell_length_b 6.223
_cell_length_c 6.223
_cell_angle_alpha 90.00
_cell_angle_beta 90.00
_cell_angle_gamma 90.00
_space_group_name_H-M_alt 'F m -3 m'
_space_group_IT_number 225
_space_group_name_Hall '-F 4 2 3'
loop_
_atom_site_label
_atom_site_type_symbol
_atom_site_fract_x
_atom_site_fract_y
_atom_site_fract_z
Sn1 Sn 0.000 0.000 0.000
Sb1 Sb 0.000 0.000 0.500
C1 C 0.250 0.250 0.250
# Energy relative to the lowest polymorph listed for this composition (meV/atom): 963
# Mass density (kg/m³): 7291
# Formation energy without anion corrections (eV/atom): 2.1590

# TbPm2Y5Sc | Alexandria via LeMat-Bulk | PBE | relaxed
data_TbPm2Y5Sc
_cell_length_a 5.571
_cell_length_b 20.180
_cell_length_c 10.374
_cell_angle_alpha 90.00
_cell_angle_beta 90.00
_cell_angle_gamma 90.00
_space_group_name_H-M_alt 'C m c 21'
_space_group_IT_number 36
loop_
_space_group_symop_operation_xyz
'x,y,z'
'-x,-y,z+1/2'
'-x,y,z'
'x,-y,z+1/2'
'x+1/2,y+1/2,z'
'-x+1/2,-y+1/2,z+1/2'
'-x+1/2,y+1/2,z'
'x+1/2,-y+1/2,z+1/2'
loop_
_atom_site_label
_atom_site_type_symbol
_atom_site_fract_x
_atom_site_fract_y
_atom_site_fract_z
Tb1 Tb 0.000 0.093 0.000
Pm1 Pm 0.000 0.384 0.718
Pm2 Pm 0.000 0.388 0.139
Y1 Y 0.000 0.018 0.714
Y2 Y 0.000 0.131 0.432
Y3 Y 0.000 0.201 0.752
Y4 Y 0.000 0.229 0.122
Y5 Y 0.000 0.484 0.438
Sc1 Sc 0.000 0.308 0.436
# Mass density (kg/m³): 5345
# Energy relative to the elements (eV/atom): 0.15

# AgRu3C | Alexandria via LeMat-Bulk | PBE | relaxed
data_AgRu3C
_cell_length_a 4.867
_cell_length_b 4.867
_cell_length_c 4.867
_cell_angle_alpha 90.00
_cell_angle_beta 90.00
_cell_angle_gamma 90.00
_space_group_name_H-M_alt 'P m -3 m'
_space_group_IT_number 221
_space_group_name_Hall '-P 4 2 3'
loop_
_atom_site_label
_atom_site_type_symbol
_atom_site_fract_x
_atom_site_fract_y
_atom_site_fract_z
Ag1 Ag 0.000 0.000 0.000
Ru1 Ru 0.000 0.000 0.500
C1 C 0.500 0.500 0.500
# Energy relative to the lowest polymorph listed for this composition (meV/atom): 3184
# Mass density (kg/m³): 6093
# Energy relative to the elements (eV/atom): 3.63

# K3HoNb2O8 | Alexandria via LeMat-Bulk | PBE | relaxed
data_K3HoNb2O8
_cell_length_a 6.1855
_cell_length_b 6.1855
_cell_length_c 7.7496
_cell_angle_alpha 90.00
_cell_angle_beta 90.00
_cell_angle_gamma 120.00
_space_group_name_H-M_alt 'P -3 m 1'
_space_group_IT_number 164
_space_group_name_Hall '-P 3 2"'
loop_
_atom_site_label
_atom_site_type_symbol
_atom_site_fract_x
_atom_site_fract_y
_atom_site_fract_z
K1 K 0.0000 0.0000 0.0000
K2 K 0.3333 0.6667 0.6745
Ho1 Ho 0.0000 0.0000 0.5000
Nb1 Nb 0.3333 0.6667 0.2344
O1 O 0.1686 0.3372 0.3246
O2 O 0.3333 0.6667 0.9994
# Mass density (kg/m³): 3854
# Formation energy without anion corrections (eV/atom): -2.5826

# BaAcSn | Alexandria via LeMat-Bulk | PBE | relaxed
data_BaAcSn
_cell_length_a 5.263
_cell_length_b 5.263
_cell_length_c 18.769
_cell_angle_alpha 90.00
_cell_angle_beta 90.00
_cell_angle_gamma 90.00
_space_group_name_H-M_alt 'I 4/m m m'
_space_group_IT_number 139
_space_group_name_Hall '-I 4 2'
loop_
_atom_site_label
_atom_site_type_symbol
_atom_site_fract_x
_atom_site_fract_y
_atom_site_fract_z
Ba1 Ba 0.000 0.000 0.181
Ac1 Ac 0.000 0.500 0.000
Sn1 Sn 0.000 0.000 0.375
# Energy relative to the lowest polymorph listed for this composition (meV/atom): 0
# Mass density (kg/m³): 6171
# Energy relative to the elements (eV/atom): -0.53

# Mg3NiBi | Alexandria via LeMat-Bulk | PBE | relaxed
data_Mg3NiBi
_cell_length_a 4.864
_cell_length_b 4.864
_cell_length_c 4.864
_cell_angle_alpha 90.00
_cell_angle_beta 90.00
_cell_angle_gamma 90.00
_space_group_name_H-M_alt 'P m -3 m'
_space_group_IT_number 221
_space_group_name_Hall '-P 4 2 3'
loop_
_atom_site_label
_atom_site_type_symbol
_atom_site_fract_x
_atom_site_fract_y
_atom_site_fract_z
Mg1 Mg 0.000 0.000 0.500
Ni1 Ni 0.000 0.000 0.000
Bi1 Bi 0.500 0.500 0.500
# Energy relative to the lowest polymorph listed for this composition (meV/atom): 0
# Mass density (kg/m³): 4915
# Energy relative to the elements (eV/atom): 0.02

# NiWSe4 | Alexandria via LeMat-Bulk | PBE | relaxed
data_NiWSe4
_cell_length_a 7.723
_cell_length_b 7.723
_cell_length_c 7.723
_cell_angle_alpha 90.00
_cell_angle_beta 90.00
_cell_angle_gamma 90.00
_space_group_name_H-M_alt 'F -4 3 m'
_space_group_IT_number 216
_space_group_name_Hall 'F -4 2 3'
loop_
_atom_site_label
_atom_site_type_symbol
_atom_site_fract_x
_atom_site_fract_y
_atom_site_fract_z
Ni1 Ni 0.000 0.000 0.000
W1 W 0.250 0.250 0.250
Se1 Se 0.125 0.125 0.625
# Mass density (kg/m³): 8051
# Formation energy without anion corrections (eV/atom): 1.4561

# NbTcB3 | Alexandria via LeMat-Bulk | PBE | relaxed
data_NbTcB3
_cell_length_a 3.964
_cell_length_b 3.964
_cell_length_c 3.964
_cell_angle_alpha 90.00
_cell_angle_beta 90.00
_cell_angle_gamma 90.00
_space_group_name_H-M_alt 'P m -3 m'
_space_group_IT_number 221
_space_group_name_Hall '-P 4 2 3'
loop_
_atom_site_label
_atom_site_type_symbol
_atom_site_fract_x
_atom_site_fract_y
_atom_site_fract_z
Nb1 Nb 0.000 0.000 0.000
Tc1 Tc 0.500 0.500 0.500
B1 B 0.000 0.500 0.500
# Energy relative to the lowest polymorph listed for this composition (meV/atom): 1450
# Mass density (kg/m³): 5954
# Energy relative to the elements (eV/atom): 0.87

# Sc4Al2N | Alexandria via LeMat-Bulk | PBE | relaxed
data_Sc4Al2N
_cell_length_a 4.351
_cell_length_b 4.351
_cell_length_c 14.612
_cell_angle_alpha 90.00
_cell_angle_beta 90.00
_cell_angle_gamma 90.00
_space_group_name_H-M_alt 'I 4/m m m'
_space_group_IT_number 139
_space_group_name_Hall '-I 4 2'
loop_
_atom_site_label
_atom_site_type_symbol
_atom_site_fract_x
_atom_site_fract_y
_atom_site_fract_z
Sc1 Sc 0.000 0.000 0.159
Sc2 Sc 0.000 0.500 0.000
Al1 Al 0.000 0.000 0.363
N1 N 0.000 0.000 0.000
# Mass density (kg/m³): 2975
# Formation energy without anion corrections (eV/atom): -0.7088

# Ag5Se2Br2 | Alexandria via LeMat-Bulk | PBE | relaxed
data_Ag5Se2Br2
_cell_length_a 15.285
_cell_length_b 4.608
_cell_length_c 7.303
_cell_angle_alpha 90.00
_cell_angle_beta 112.43
_cell_angle_gamma 90.00
_space_group_name_H-M_alt 'C 1 2/m 1'
_space_group_IT_number 12
loop_
_space_group_symop_operation_xyz
'x,y,z'
'-x,-y,-z'
'-x,y,-z'
'x,-y,z'
'x+1/2,y+1/2,z'
'-x+1/2,-y+1/2,-z'
'-x+1/2,y+1/2,-z'
'x+1/2,-y+1/2,z'
loop_
_atom_site_label
_atom_site_type_symbol
_atom_site_fract_x
_atom_site_fract_y
_atom_site_fract_z
Ag1 Ag 0.000 0.000 0.000
Ag2 Ag 0.084 0.000 0.436
Ag3 Ag 0.190 0.500 0.963
Se1 Se 0.115 0.000 0.817
Br1 Br 0.138 0.500 0.315
# Energy relative to the lowest polymorph listed for this composition (meV/atom): 0
# Mass density (kg/m³): 5987
# Formation energy without anion corrections (eV/atom): -0.1520

# Sc6SnSb3 | Alexandria via LeMat-Bulk | PBE | relaxed
data_Sc6SnSb3
_cell_length_a 10.938
_cell_length_b 10.816
_cell_length_c 8.013
_cell_angle_alpha 90.00
_cell_angle_beta 90.00
_cell_angle_gamma 90.00
_space_group_name_H-M_alt 'C m c m'
_space_group_IT_number 63
_space_group_name_Hall '-C 2c 2'
loop_
_atom_site_label
_atom_site_type_symbol
_atom_site_fract_x
_atom_site_fract_y
_atom_site_fract_z
Sc1 Sc 0.000 0.157 0.001
Sc2 Sc 0.157 0.500 0.000
Sc3 Sc 0.250 0.249 0.750
Sn1 Sn 0.000 0.353 0.250
Sb1 Sb 0.000 0.354 0.750
Sb2 Sb 0.148 0.001 0.250
# Mass density (kg/m³): 5281
# Formation energy without anion corrections (eV/atom): -0.7594

Density of states at the Fermi level readings, ordered: 9.0; 11.6; 55.6; 6.7; 0.0; 9.0; 2.7; 24.4; 3.3; 11.7; 9.1; 29.2 states/eV per cell